VASP calculation (PBE) on a relaxed structure of Tl3CuSn3Se8.

Values from the calculation:
The total DFT energy (no corrections) is -55.7 eV per cell. Its spin magnetization is 0.000 μB per atom. For the formation energy (no corrections), the calculation gives -0.31 eV/atom.

Lattice parameters (Å, degrees): 8.0299 8.0299 9.1653 117.01 117.01 57.83
With the nearest neighbours (Å) after each atom.
Fractional coordinates of all 15 atoms:
Tl: 0.0000 0.0000 0.0000  6 Se 3.26-3.32
Tl: 0.0000 0.5000 0.0000  6 Se 3.24-3.32
Tl: 0.5000 0.0000 0.0000  6 Se 3.24-3.32
Cu: 0.0000 0.0000 0.5000  4 Se 2.51
Sn: 0.0000 0.5000 0.5000  6 Se 2.73-2.84
Sn: 0.5000 0.0000 0.5000  6 Se 2.73-2.84
Sn: 0.5000 0.5000 0.5000  6 Se 2.77-2.85
Se: 0.2128 0.7595 0.6829  1 Cu 2.51, 1 Sn 2.77
Se: 0.2405 0.7872 0.3171  1 Cu 2.51, 1 Sn 2.77
Se: 0.2580 0.2580 0.7157  2 Sn 2.73
Se: 0.2635 0.2635 0.2932  3 Sn 2.79-2.85
Se: 0.7365 0.7365 0.7068  3 Sn 2.79-2.85
Se: 0.7420 0.7420 0.2843  2 Sn 2.73
Se: 0.7595 0.2128 0.6829  1 Cu 2.51, 1 Sn 2.77
Se: 0.7872 0.2405 0.3171  1 Cu 2.51, 1 Sn 2.77


VASP calculation (PBE) on a relaxed structure of CuSnW2Se.

Values from the calculation:
The total DFT energy (no corrections) is -28.8 eV per cell. Its spin magnetization is 0.502 μB per atom. For the formation energy (no corrections), the calculation gives 1.75 eV/atom.

Lattice parameters (Å, degrees): 4.7577 4.7577 4.5446 90.00 90.00 90.00
With the nearest neighbours (Å) after each atom.
Fractional coordinates of all 5 atoms:
Cu: 0.0000 0.0000 0.0000  2 Sn 2.27, 4 W 2.38
Sn: 0.0000 0.0000 0.5000  2 Cu 2.27
W: 0.0000 0.5000 0.0000  2 Cu 2.38
W: 0.5000 0.0000 0.0000  2 Cu 2.38
Se: 0.5000 0.5000 0.5000  8 W 3.29, 4 Sn 3.36


VASP calculation (PBE) on a relaxed structure of Y3CuSnSe7.

Values from the calculation:
The total DFT energy (no corrections) is -134.3 eV per cell. Its spin magnetization is 0.000 μB per atom. For the formation energy (no corrections), the calculation gives -1.27 eV/atom.

Lattice parameters (Å, degrees): 10.2572 10.2572 6.5272 90.00 90.00 120.00
With the nearest neighbours (Å) after each atom.
Fractional coordinates of all 24 atoms:
Y: 0.1508 0.3575 0.0000  6 Se 2.86-3.03
Y: 0.2067 0.8492 0.0000  6 Se 2.86-3.03
Y: 0.3575 0.2067 0.5000  6 Se 2.86-3.03
Y: 0.6425 0.7933 0.0000  6 Se 2.86-3.03
Y: 0.7933 0.1508 0.5000  6 Se 2.86-3.03
Y: 0.8492 0.6425 0.5000  6 Se 2.86-3.03
Cu: 0.0000 0.0000 0.3971  3 Se 2.36
Cu: 0.0000 0.0000 0.8971  3 Se 2.36
Sn: 0.3333 0.6667 0.5706  4 Se 2.56-2.57
Sn: 0.6667 0.3333 0.0706  4 Se 2.56-2.57
Se: 0.0790 0.5609 0.7541  1 Sn 2.57
Se: 0.1166 0.2645 0.4250  1 Cu 2.36
Se: 0.1479 0.8834 0.4250  1 Cu 2.36
Se: 0.2645 0.1479 0.9250  1 Cu 2.36
Se: 0.3333 0.6667 0.1786  1 Sn 2.56
Se: 0.4391 0.5181 0.7541  1 Sn 2.57
Se: 0.4819 0.9210 0.7541  1 Sn 2.57
Se: 0.5181 0.0790 0.2541  1 Sn 2.57
Se: 0.5609 0.4819 0.2541  1 Sn 2.57
Se: 0.6667 0.3333 0.6786  1 Sn 2.56
Se: 0.7355 0.8521 0.4250  1 Cu 2.36
Se: 0.8521 0.1166 0.9250  1 Cu 2.36
Se: 0.8834 0.7355 0.9250  1 Cu 2.36
Se: 0.9210 0.4391 0.2541  1 Sn 2.57


VASP calculation (PBE) on a relaxed structure of Y2CuSnSe.

Values from the calculation:
The total DFT energy (no corrections) is -27.2 eV per cell. Its spin magnetization is 0.000 μB per atom. For the formation energy (no corrections), the calculation gives -0.54 eV/atom.

Lattice parameters (Å, degrees): 5.3973 5.3973 4.5103 90.00 90.00 90.00
With the nearest neighbours (Å) after each atom.
Fractional coordinates of all 5 atoms:
Y: 0.0000 0.5000 0.0000  2 Se 2.70
Y: 0.5000 0.0000 0.0000  2 Se 2.70
Cu: 0.0000 0.0000 0.5000  2 Se 2.26
Sn: 0.5000 0.5000 0.5000  8 Y 3.52, 4 Cu 3.82
Se: 0.0000 0.0000 0.0000  2 Cu 2.26


VASP calculation (PBE) on a relaxed structure of ZnCu2SnSe4.

Values from the calculation:
The total DFT energy (no corrections) is -30.6 eV per cell. Its spin magnetization is 0.000 μB per atom. The calculation puts the offset from the most stable computed form at 0.003 eV/atom. For the formation energy (no corrections), the calculation gives -0.39 eV/atom.

Lattice parameters (Å, degrees): 7.0598 7.0598 7.0598 131.81 131.81 70.52
With the nearest neighbours (Å) after each atom.
Fractional coordinates of all 8 atoms:
Zn: 0.0000 0.0000 0.0000  4 Se 2.51
Cu: 0.2500 0.7500 0.5000  4 Se 2.43
Cu: 0.7500 0.2500 0.5000  4 Se 2.43
Sn: 0.5000 0.5000 0.0000  4 Se 2.62
Se: 0.1058 0.1058 0.4820  2 Cu 2.43, 1 Zn 2.51, 1 Sn 2.62
Se: 0.3762 0.8942 0.0000  2 Cu 2.43, 1 Zn 2.51, 1 Sn 2.62
Se: 0.6238 0.6238 0.5180  2 Cu 2.43, 1 Zn 2.51, 1 Sn 2.62
Se: 0.8942 0.3762 0.0000  2 Cu 2.43, 1 Zn 2.51, 1 Sn 2.62


VASP calculation (PBE) on a relaxed structure of Zn4Cu11Sn5Se20.

Values from the calculation:
The total DFT energy (no corrections) is -154.8 eV per cell. Its spin magnetization is 0.000 μB per atom. For the formation energy (no corrections), the calculation gives -0.37 eV/atom.

Lattice parameters (Å, degrees): 10.7597 10.7597 10.7597 106.62 106.62 115.35
With the nearest neighbours (Å) after each atom.
Fractional coordinates of all 40 atoms:
Zn: 0.1003 0.6997 0.8003  4 Se 2.50-2.51
Zn: 0.3003 0.1006 0.4006  4 Se 2.50-2.51
Zn: 0.7001 0.8997 0.5994  4 Se 2.50-2.51
Zn: 0.8994 0.2999 0.1997  4 Se 2.50-2.51
Cu: 0.0528 0.3522 0.9032  4 Se 2.41-2.44
Cu: 0.1544 0.0523 0.7025  4 Se 2.41-2.44
Cu: 0.2500 0.7500 0.5000  4 Se 2.43
Cu: 0.3498 0.4519 0.2975  4 Se 2.41-2.44
Cu: 0.4490 0.1496 0.0968  4 Se 2.41-2.44
Cu: 0.5000 0.5000 0.0000  4 Se 2.44
Cu: 0.5481 0.8456 0.8979  4 Se 2.41-2.44
Cu: 0.6478 0.5510 0.7006  4 Se 2.41-2.44
Cu: 0.7500 0.2500 0.5000  4 Se 2.43
Cu: 0.8504 0.9472 0.2994  4 Se 2.41-2.44
Cu: 0.9477 0.6502 0.1021  4 Se 2.41-2.44
Sn: 0.0000 0.0000 0.0000  4 Se 2.62
Sn: 0.2047 0.4034 0.6029  4 Se 2.61-2.63
Sn: 0.3983 0.7953 0.1987  4 Se 2.61-2.63
Sn: 0.5966 0.1995 0.8013  4 Se 2.61-2.63
Sn: 0.8005 0.6017 0.3971  4 Se 2.61-2.63
Se: 0.0135 0.4201 0.7041  2 Cu 2.43-2.44, 1 Zn 2.50, 1 Sn 2.63
Se: 0.0912 0.7877 0.6083  2 Cu 2.43, 1 Zn 2.50, 1 Sn 2.63
Se: 0.1169 0.1100 0.4970  2 Cu 2.43, 1 Zn 2.50, 1 Sn 2.63
Se: 0.1794 0.4830 0.3917  2 Cu 2.43, 1 Zn 2.50, 1 Sn 2.63
Se: 0.2123 0.8206 0.3036  2 Cu 2.43, 1 Zn 2.50, 1 Sn 2.63
Se: 0.2911 0.1877 0.2072  2 Cu 2.44, 1 Zn 2.51, 1 Sn 2.62
Se: 0.3206 0.5079 0.0933  3 Cu 2.41-2.44, 1 Sn 2.61
Se: 0.3801 0.8831 0.9931  2 Cu 2.43, 1 Zn 2.50, 1 Sn 2.63
Se: 0.4146 0.2273 0.9067  3 Cu 2.41-2.44, 1 Sn 2.61
Se: 0.4921 0.5854 0.8126  3 Cu 2.41-2.44, 1 Sn 2.61
Se: 0.5170 0.9088 0.6964  2 Cu 2.43, 1 Zn 2.50, 1 Sn 2.63
Se: 0.5799 0.2840 0.5934  2 Cu 2.43-2.44, 1 Zn 2.50, 1 Sn 2.63
Se: 0.6130 0.6199 0.5030  2 Cu 2.43, 1 Zn 2.50, 1 Sn 2.63
Se: 0.6905 0.9865 0.4066  2 Cu 2.43-2.44, 1 Zn 2.50, 1 Sn 2.63
Se: 0.7160 0.3095 0.2959  2 Cu 2.43-2.44, 1 Zn 2.50, 1 Sn 2.63
Se: 0.7727 0.6794 0.1874  3 Cu 2.41-2.44, 1 Sn 2.61
Se: 0.8123 0.0195 0.1034  2 Cu 2.44, 1 Zn 2.51, 1 Sn 2.62
Se: 0.8900 0.3870 0.0069  2 Cu 2.43, 1 Zn 2.50, 1 Sn 2.63
Se: 0.9161 0.7089 0.8966  2 Cu 2.44, 1 Zn 2.51, 1 Sn 2.62
Se: 0.9805 0.0839 0.7928  2 Cu 2.44, 1 Zn 2.51, 1 Sn 2.62


VASP calculation (PBE) on a relaxed structure of ZnCu2SnSe4.

Values from the calculation:
The total DFT energy (no corrections) is -30.6 eV per cell. Its spin magnetization is 0.000 μB per atom. The calculation puts the offset from the most stable computed form at 0.000 eV/atom. For the formation energy (no corrections), the calculation gives -0.40 eV/atom.

Lattice parameters (Å, degrees): 7.0538 7.0538 7.0538 131.72 131.72 70.67
With the nearest neighbours (Å) after each atom.
Fractional coordinates of all 8 atoms:
Zn: 0.0000 0.0000 0.0000  4 Se 2.50
Cu: 0.2500 0.7500 0.5000  4 Se 2.44
Cu: 0.5000 0.5000 0.0000  4 Se 2.43
Sn: 0.7500 0.2500 0.5000  4 Se 2.62
Se: 0.1489 0.1209 0.5094  2 Cu 2.43-2.44, 1 Zn 2.50, 1 Sn 2.62
Se: 0.3605 0.8511 0.9720  2 Cu 2.43-2.44, 1 Zn 2.50, 1 Sn 2.62
Se: 0.6114 0.6395 0.4906  2 Cu 2.43-2.44, 1 Zn 2.50, 1 Sn 2.62
Se: 0.8791 0.3886 0.0280  2 Cu 2.43-2.44, 1 Zn 2.50, 1 Sn 2.62


VASP calculation (PBE) on a relaxed structure of Zn2CuSnSe4.

Values from the calculation:
The total DFT energy (no corrections) is -28.2 eV per cell. Its spin magnetization is 0.000 μB per atom. For the formation energy (no corrections), the calculation gives -0.45 eV/atom.

Lattice parameters (Å, degrees): 7.2301 7.2301 7.2301 132.20 132.20 69.92
With the nearest neighbours (Å) after each atom.
Fractional coordinates of all 8 atoms:
Zn: 0.2500 0.7500 0.5000  4 Se 2.51
Zn: 0.7500 0.2500 0.5000  4 Se 2.51
Cu: 0.0000 0.0000 0.0000  4 Se 2.42
Sn: 0.5000 0.5000 0.0000  4 Se 2.76
Se: 0.0929 0.6443 0.0000  1 Cu 2.42, 2 Zn 2.51
Se: 0.3557 0.3557 0.4486  1 Cu 2.42, 2 Zn 2.51
Se: 0.6443 0.0929 0.0000  1 Cu 2.42, 2 Zn 2.51
Se: 0.9071 0.9071 0.5514  1 Cu 2.42, 2 Zn 2.51